1.
Computed, not measured: a PBEsol-optimized structure of LiMnCr2 at the SCAN level of DFT.

Cell: 2.242 4.297 4.730 Å, 90.14 90.00 105.12°
Fractional positions:
Li (0.000, 0.000, 0.500)
Cr (0.253, 0.507, 0.251)
Cr (0.747, 0.493, 0.749)
Mn (0.500, 0.000, 0.000)

Values from the calculation:
energy of formation = 0.50 eV/atom
space group = No. 12
E above lowest polymorph = 0.0469 eV per atom
crystal system = monoclinic

***

2.
Computed, not measured: a PBEsol-optimized structure of BeSiAu at the SCAN level of DFT.

Cell: 3.447 3.447 4.270 Å, 113.81 113.81 90.00°
Fractional positions:
Si (0.657, 0.657, 0.314)
Au (0.004, 0.004, 0.008)
Be (0.339, 0.339, 0.678)

Values from the calculation:
space group = No. 107
crystal system = tetragonal
E_form (uncorrected) = 0.06 eV/atom

***

3.
Computed, not measured: a PBEsol-optimized structure of RuWIO2 at the SCAN level of DFT.

Cell: 3.795 3.795 5.874 Å, 90.00 90.00 90.00°
Last column: magnetic moment on the atom in μB.
Fractional positions:
Ru (0.500, 0.500, 0.500)  1.29
W (0.000, 0.000, 0.000)  -0.31
O (0.000, 0.500, 0.000)  0.03
O (0.500, 0.000, 0.000)  0.03
I (0.000, 0.000, 0.500)  -0.01

Values from the calculation:
space group = No. 123
E above lowest polymorph = 0.0000 eV per atom
crystal system = tetragonal
E_form (uncorrected) = -0.34 eV/atom

***

| no. | final energy (eV/atom) |
| --- | --- |
| 1 | -13.858 |
| 2 | -27.782 |
| 3 | -31.087 |